NdY2ZrN4 after structural relaxation, computed with PBE-GGA.

POSCAR file:
```
NdY2ZrN4
1.0
5.972 0.000 0.000
0.000 3.453 0.000
-1.981 0.000 5.678
Nd Y Zr N
1 2 1 4
Cartesian
0.000 0.000 0.000
1.996 0.000 2.839
2.986 1.726 0.000
-0.990 1.726 2.839
-0.017 0.000 4.159
0.952 1.726 1.521
3.040 1.726 4.158
4.008 0.000 1.520
```

Results
Calculated density = 6.7 g/cm3
Energy relative to the elements, uncorrected = -1.59 eV/atom
Raw total energy = -9.035 eV per atom

***

Nd2ZnN after structural relaxation, computed with PBE-GGA.

POSCAR file:
```
Nd2ZnN
1.0
1.850 1.068 7.516
-1.850 1.068 7.516
0.000 -2.136 7.516
Nd Zn N
2 1 1
Cartesian
0.000 0.000 5.165
0.000 0.000 17.383
0.000 0.000 0.000
0.000 0.000 11.274
```

Results
Energy above the lowest structure with this stoichiometry = 0.000 eV/atom
Calculated density = 6.9 g/cm3
Energy relative to the elements, uncorrected = -0.70 eV/atom
Raw total energy = -5.488 eV per atom

***

Nd12Zn3N5 after structural relaxation, computed with PBE-GGA.

POSCAR file:
```
Nd12Zn3N5
1.0
-8.004 8.004 8.004
8.004 -8.004 8.004
8.004 8.004 -8.004
Nd Zn N
48 12 20
Cartesian
2.377 -0.568 0.845
9.629 4.846 -4.570
10.381 0.568 0.845
9.629 -3.157 4.570
7.435 -0.845 2.377
12.574 -1.625 3.157
0.845 2.377 -0.568
11.161 3.434 -1.625
4.846 4.570 -1.625
7.159 2.377 0.568
-0.568 0.845 2.377
4.570 -1.625 4.846
7.435 7.159 -2.377
4.570 1.625 3.157
4.846 -4.570 9.629
7.159 -2.377 7.435
3.157 4.570 1.625
8.848 5.627 0.568
4.570 9.629 -3.157
7.435 0.845 5.627
2.377 7.435 -0.845
9.629 3.157 3.434
1.625 3.157 4.570
2.377 0.568 7.159
5.627 7.435 0.845
6.379 4.846 3.434
-1.625 4.846 4.570
5.627 0.568 8.848
0.568 7.159 2.377
3.434 -1.625 11.161
-0.845 2.377 7.435
4.846 3.434 6.379
0.845 10.381 0.568
3.157 12.574 -1.625
3.434 6.379 4.846
0.568 0.845 10.381
3.434 9.629 3.157
8.572 7.159 5.627
0.845 5.627 7.435
3.157 3.434 9.629
-3.157 4.570 9.629
7.159 5.627 8.572
-4.570 9.629 4.846
0.568 8.848 5.627
-1.625 11.161 3.434
-2.377 7.435 7.159
-1.625 3.157 12.574
5.627 8.572 7.159
4.002 2.001 0.000
8.004 4.002 -2.001
2.001 0.000 4.002
10.005 0.000 4.002
0.000 4.002 2.001
4.002 -2.001 8.004
4.002 10.005 0.000
8.004 4.002 6.003
-2.001 8.004 4.002
6.003 8.004 4.002
0.000 4.002 10.005
4.002 6.003 8.004
0.000 0.000 0.000
4.002 4.002 -4.002
4.002 -4.002 4.002
8.004 0.000 0.000
12.006 2.001 0.000
8.004 -4.002 6.003
6.003 8.004 -4.002
6.003 0.000 4.002
4.002 6.003 0.000
8.004 4.002 2.001
-4.002 4.002 4.002
0.000 8.004 0.000
0.000 0.000 8.004
4.002 4.002 4.002
0.000 4.002 6.003
4.002 2.001 8.004
2.001 8.004 4.002
2.001 0.000 12.006
0.000 12.006 2.001
-4.002 6.003 8.004
```

Results
Calculated density = 6.5 g/cm3
Energy relative to the elements, uncorrected = -0.65 eV/atom
Raw total energy = -5.779 eV per atom